[1]
DFT (PBE) results for a relaxed structure of Co2Te.

symmetry = P6_3/mmc
formation energy from raw total energies = 284 meV per atom
crystal system = hexagonal
energy relative to the lowest polymorph listed for this composition = 93.3 kJ/mol of formula units
E = -33.00 eV per cell

Unit cell a=4.2705 b=4.2705 c=5.3691 alpha=90.00 beta=90.00 gamma=120.00
With the nearest neighbours (Å) after each atom.
Fractional positions:
Co 0.0000 0.0000 0.0000  8 Co 2.68-2.81, 6 Te 2.81
Co 0.0000 0.0000 0.5000  8 Co 2.68-2.81, 6 Te 2.81
Co 0.3333 0.6667 0.2500  5 Te 2.47-2.68
Co 0.6667 0.3333 0.7500  5 Te 2.47-2.68
Te 0.3333 0.6667 0.7500  5 Co 2.47-2.68
Te 0.6667 0.3333 0.2500  5 Co 2.47-2.68


[2]
DFT (PBE) results for a relaxed structure of CoTe.

symmetry = Fd-3m
formation energy from raw total energies = 963 meV per atom
crystal system = cubic
E = -66.57 eV per cell

Unit cell a=6.7605 b=6.7605 c=6.7605 alpha=90.00 beta=90.00 gamma=90.00
With the nearest neighbours (Å) after each atom.
Fractional positions:
Co 0.1250 0.1250 0.1250  4 Co 2.93, 4 Te 2.93
Co 0.1250 0.6250 0.6250  4 Co 2.93, 4 Te 2.93
Co 0.3750 0.3750 0.8750  4 Co 2.93, 4 Te 2.93
Co 0.3750 0.8750 0.3750  4 Co 2.93, 4 Te 2.93
Co 0.6250 0.1250 0.6250  4 Co 2.93, 4 Te 2.93
Co 0.6250 0.6250 0.1250  4 Co 2.93, 4 Te 2.93
Co 0.8750 0.3750 0.3750  4 Co 2.93, 4 Te 2.93
Co 0.8750 0.8750 0.8750  4 Co 2.93, 4 Te 2.93
Te 0.1250 0.1250 0.6250  4 Co 2.93, 4 Te 2.93
Te 0.1250 0.6250 0.1250  4 Co 2.93, 4 Te 2.93
Te 0.3750 0.3750 0.3750  4 Co 2.93, 4 Te 2.93
Te 0.3750 0.8750 0.8750  4 Co 2.93, 4 Te 2.93
Te 0.6250 0.1250 0.1250  4 Co 2.93, 4 Te 2.93
Te 0.6250 0.6250 0.6250  4 Co 2.93, 4 Te 2.93
Te 0.8750 0.3750 0.8750  4 Co 2.93, 4 Te 2.93
Te 0.8750 0.8750 0.3750  4 Co 2.93, 4 Te 2.93


[3]
DFT (PBE) results for a relaxed structure of CoTe.

symmetry = P6_3/m
formation energy from raw total energies = -1 meV per atom
crystal system = hexagonal
E = -61.50 eV per cell

Unit cell a=9.4710 b=9.4710 c=3.8850 alpha=90.00 beta=90.00 gamma=120.00
With the nearest neighbours (Å) after each atom.
Fractional positions:
Co 0.0335 0.4304 0.2500  4 Te 2.44-2.46, 2 Co 2.60
Co 0.3970 0.9665 0.2500  4 Te 2.44-2.46, 2 Co 2.60
Co 0.4304 0.3970 0.7500  4 Te 2.44-2.46, 2 Co 2.60
Co 0.5696 0.6030 0.2500  4 Te 2.44-2.46, 2 Co 2.60
Co 0.6030 0.0335 0.7500  4 Te 2.44-2.46, 2 Co 2.60
Co 0.9665 0.5696 0.7500  4 Te 2.44-2.46, 2 Co 2.60
Te 0.1259 0.7242 0.2500  4 Co 2.44-2.46
Te 0.2758 0.4017 0.2500  4 Co 2.44-2.46
Te 0.4017 0.1259 0.7500  4 Co 2.44-2.46
Te 0.5983 0.8741 0.2500  4 Co 2.44-2.46
Te 0.7242 0.5983 0.7500  4 Co 2.44-2.46
Te 0.8741 0.2758 0.7500  4 Co 2.44-2.46


[4]
DFT (PBE) results for a relaxed structure of Co2Te.

symmetry = P6/mmm
formation energy from raw total energies = 435 meV per atom
crystal system = hexagonal
energy relative to the lowest polymorph listed for this composition = 137.1 kJ/mol of formula units
E = -16.05 eV per cell

Unit cell a=3.9595 b=3.9595 c=3.5652 alpha=90.00 beta=90.00 gamma=120.00
With the nearest neighbours (Å) after each atom.
Fractional positions:
Co 0.3333 0.6667 0.0000  3 Co 2.29
Co 0.6667 0.3333 0.0000  3 Co 2.29
Te 0.0000 0.0000 0.5000  12 Co 2.90


[5]
DFT (PBE) results for a relaxed structure of CoTe3.

symmetry = Imm2
formation energy from raw total energies = 15 meV per atom
crystal system = orthorhombic
E = -32.94 eV per cell

Unit cell a=3.6140 b=11.1510 c=5.4502 alpha=90.00 beta=90.00 gamma=90.00
With the nearest neighbours (Å) after each atom.
Fractional positions:
Co 0.0000 0.0000 0.0000  6 Te 2.56-2.57
Co 0.5000 0.5000 0.5000  6 Te 2.56-2.57
Te 0.0000 0.3546 0.6536  2 Co 2.57
Te 0.0000 0.5000 0.1669  2 Co 2.56
Te 0.0000 0.6454 0.6536  2 Co 2.57
Te 0.5000 0.0000 0.6669  2 Co 2.56
Te 0.5000 0.1454 0.1536  2 Co 2.57
Te 0.5000 0.8546 0.1536  2 Co 2.57


[6]
DFT (PBE) results for a relaxed structure of Co2Te.

symmetry = P-3m1
formation energy from raw total energies = 4 meV per atom
crystal system = trigonal
energy relative to the lowest polymorph listed for this composition = 12.4 kJ/mol of formula units
E = -34.68 eV per cell

Unit cell a=3.9612 b=3.9612 c=7.9969 alpha=90.00 beta=90.00 gamma=120.00
With the nearest neighbours (Å) after each atom.
Fractional positions:
Co 0.0000 0.0000 0.1470  4 Co 2.35-2.49, 3 Te 2.56
Co 0.0000 0.0000 0.8530  4 Co 2.35-2.49, 3 Te 2.56
Co 0.3333 0.6667 0.0253  6 Co 2.32-2.49, 1 Te 2.52
Co 0.6667 0.3333 0.9747  6 Co 2.32-2.49, 1 Te 2.52
Te 0.3333 0.6667 0.7098  4 Co 2.52-2.56
Te 0.6667 0.3333 0.2902  4 Co 2.52-2.56


[7]
DFT (PBE) results for a relaxed structure of Co3Te2.

symmetry = R-3m
formation energy from raw total energies = 324 meV per atom
crystal system = trigonal
E = -77.94 eV per cell

Unit cell a=3.6909 b=3.6909 c=21.7346 alpha=90.00 beta=90.00 gamma=120.00
With the nearest neighbours (Å) after each atom.
Fractional positions:
Co 0.0000 0.0000 0.0000  6 Te 2.64
Co 0.0000 0.0000 0.1855  3 Co 2.28
Co 0.0000 0.0000 0.8145  3 Co 2.28
Co 0.3333 0.6667 0.4812  3 Co 2.28
Co 0.3333 0.6667 0.6667  6 Te 2.64
Co 0.3333 0.6667 0.8521  3 Co 2.28
Co 0.6667 0.3333 0.1479  3 Co 2.28
Co 0.6667 0.3333 0.3333  6 Te 2.64
Co 0.6667 0.3333 0.5188  3 Co 2.28
Te 0.0000 0.0000 0.4051  6 Co 2.64-2.70
Te 0.0000 0.0000 0.5949  6 Co 2.64-2.70
Te 0.3333 0.6667 0.0718  6 Co 2.64-2.70
Te 0.3333 0.6667 0.2616  6 Co 2.64-2.70
Te 0.6667 0.3333 0.7384  6 Co 2.64-2.70
Te 0.6667 0.3333 0.9282  6 Co 2.64-2.70


[8]
DFT (PBE) results for a relaxed structure of Co2Te.

symmetry = P4/mmm
formation energy from raw total energies = 381 meV per atom
crystal system = tetragonal
energy relative to the lowest polymorph listed for this composition = 121.4 kJ/mol of formula units
E = -16.21 eV per cell

Unit cell a=3.5390 b=3.5390 c=3.8439 alpha=90.00 beta=90.00 gamma=90.00
With the nearest neighbours (Å) after each atom.
Fractional positions:
Co 0.0000 0.5000 0.0000  4 Co 2.50, 4 Te 2.61
Co 0.5000 0.0000 0.0000  4 Co 2.50, 4 Te 2.61
Te 0.0000 0.0000 0.5000  8 Co 2.61


[9]
DFT (PBE) results for a relaxed structure of CoTe3.

symmetry = P-6m2
formation energy from raw total energies = 95 meV per atom
crystal system = hexagonal
E = -16.15 eV per cell

Unit cell a=3.5839 b=3.5839 c=9.1690 alpha=90.00 beta=90.00 gamma=120.00
With the nearest neighbours (Å) after each atom.
Fractional positions:
Co 0.0000 0.0000 0.0000  6 Te 2.56
Te 0.0000 0.0000 0.5000  12 Te 3.58-3.71
Te 0.6667 0.3333 0.1646  3 Co 2.56
Te 0.6667 0.3333 0.8354  3 Co 2.56


[10]
DFT (PBE) results for a relaxed structure of CoTe.

symmetry = Imm2
formation energy from raw total energies = 31 meV per atom
crystal system = orthorhombic
E = -61.12 eV per cell

Unit cell a=3.7036 b=11.4889 c=5.4644 alpha=90.00 beta=90.00 gamma=90.00
With the nearest neighbours (Å) after each atom.
Fractional positions:
Co 0.0000 0.0000 0.0000  4 Te 2.45-2.46, 2 Co 2.54
Co 0.0000 0.1692 0.6996  5 Te 2.53-2.68, 1 Co 2.54
Co 0.0000 0.8308 0.6996  5 Te 2.53-2.68, 1 Co 2.54
Co 0.5000 0.3308 0.1996  5 Te 2.53-2.68, 1 Co 2.54
Co 0.5000 0.5000 0.5000  4 Te 2.45-2.46, 2 Co 2.54
Co 0.5000 0.6692 0.1996  5 Te 2.53-2.68, 1 Co 2.54
Te 0.0000 0.1815 0.2342  4 Co 2.45-2.55
Te 0.0000 0.5000 0.2038  6 Co 2.46-2.68
Te 0.0000 0.8185 0.2342  4 Co 2.45-2.55
Te 0.5000 0.0000 0.7038  6 Co 2.46-2.68
Te 0.5000 0.3185 0.7342  4 Co 2.45-2.55
Te 0.5000 0.6815 0.7342  4 Co 2.45-2.55


[11]
DFT (PBE) results for a relaxed structure of Co6Te.

symmetry = Im-3m
formation energy from raw total energies = 1018 meV per atom
crystal system = cubic
E = -77.30 eV per cell

Unit cell a=6.2147 b=6.2147 c=6.2147 alpha=90.00 beta=90.00 gamma=90.00
With the nearest neighbours (Å) after each atom.
Fractional positions:
Co 0.0000 0.2500 0.5000  4 Co 2.20
Co 0.0000 0.5000 0.2500  4 Co 2.20
Co 0.0000 0.5000 0.7500  4 Co 2.20
Co 0.0000 0.7500 0.5000  4 Co 2.20
Co 0.2500 0.0000 0.5000  4 Co 2.20
Co 0.2500 0.5000 0.0000  4 Co 2.20
Co 0.5000 0.0000 0.2500  4 Co 2.20
Co 0.5000 0.0000 0.7500  4 Co 2.20
Co 0.5000 0.2500 0.0000  4 Co 2.20
Co 0.5000 0.7500 0.0000  4 Co 2.20
Co 0.7500 0.0000 0.5000  4 Co 2.20
Co 0.7500 0.5000 0.0000  4 Co 2.20
Te 0.0000 0.0000 0.0000  24 Co 3.47
Te 0.5000 0.5000 0.5000  24 Co 3.47


[12]
DFT (PBE) results for a relaxed structure of CoTe2.

symmetry = I4/mmm
formation energy from raw total energies = 232 meV per atom
crystal system = tetragonal
E = -25.39 eV per cell

Unit cell a=3.1689 b=3.1689 c=13.6253 alpha=90.00 beta=90.00 gamma=90.00
With the nearest neighbours (Å) after each atom.
Fractional positions:
Co 0.0000 0.0000 0.0000  8 Te 2.78
Co 0.5000 0.5000 0.5000  8 Te 2.78
Te 0.0000 0.0000 0.3795  4 Co 2.78
Te 0.0000 0.0000 0.6205  4 Co 2.78
Te 0.5000 0.5000 0.1205  4 Co 2.78
Te 0.5000 0.5000 0.8795  4 Co 2.78


- Among the records above, which one has the lowest E?
  Co3Te2